First-principles (PBE) data for a relaxed Tm3Cd2Au3 crystal, as listed in Alexandria via LeMat-Bulk.

Computed properties:
* formation energy from the elements: -0.6448 eV per atom
* energy above the most stable polymorph in this dataset: 0.027 eV/atom
* Fermi-level density of states: 4.254 states/eV/cell
* raw total energy: -3.78 eV/atom

a = 10.4704 Å, b = 10.4704 Å, c = 10.4704 Å
α = 160.20°, β = 152.44°, γ = 34.17°
Atoms (fractional coordinates):
Tm 0.0000 0.0000 0.0000
Tm 0.3741 0.8741 0.5000
Tm 0.6259 0.1259 0.5000
Cd 0.2383 0.2383 0.0000
Cd 0.7617 0.7617 0.0000
Au 0.1190 0.6190 0.5000
Au 0.5000 0.5000 0.0000
Au 0.8810 0.3810 0.5000

---

First-principles (PBE) data for a relaxed Ce2CoNi4Ge3 crystal, as listed in Alexandria via LeMat-Bulk.

Computed properties:
* formation energy from the elements: -0.5524 eV per atom
* Fermi-level density of states: 13.243 states/eV/cell
* raw total energy: -6.15 eV/atom

a = 4.0576 Å, b = 4.0576 Å, c = 9.8072 Å
α = 90.00°, β = 90.00°, γ = 90.00°
Atoms (fractional coordinates):
Ce 0.0000 0.5000 0.2454
Ce 0.5000 0.0000 0.7546
Co 0.5000 0.5000 0.0000
Ni 0.0000 0.0000 0.5000
Ni 0.0000 0.5000 0.8700
Ni 0.5000 0.0000 0.1300
Ni 0.5000 0.5000 0.5000
Ge 0.0000 0.0000 0.0000
Ge 0.0000 0.5000 0.6284
Ge 0.5000 0.0000 0.3716

---

Repeat the second record exactly.
First-principles (PBE) data for a relaxed Ce2CoNi4Ge3 crystal, as listed in Alexandria via LeMat-Bulk.

Computed properties:
* formation energy from the elements: -0.5524 eV per atom
* Fermi-level density of states: 13.243 states/eV/cell
* raw total energy: -6.15 eV/atom

a = 4.0576 Å, b = 4.0576 Å, c = 9.8072 Å
α = 90.00°, β = 90.00°, γ = 90.00°
Atoms (fractional coordinates):
Ce 0.0000 0.5000 0.2454
Ce 0.5000 0.0000 0.7546
Co 0.5000 0.5000 0.0000
Ni 0.0000 0.0000 0.5000
Ni 0.0000 0.5000 0.8700
Ni 0.5000 0.0000 0.1300
Ni 0.5000 0.5000 0.5000
Ge 0.0000 0.0000 0.0000
Ge 0.0000 0.5000 0.6284
Ge 0.5000 0.0000 0.3716

---

What did the second record say?
First-principles (PBE) data for a relaxed Ce2CoNi4Ge3 crystal, as listed in Alexandria via LeMat-Bulk.

Computed properties:
* formation energy from the elements: -0.5524 eV per atom
* Fermi-level density of states: 13.243 states/eV/cell
* raw total energy: -6.15 eV/atom

a = 4.0576 Å, b = 4.0576 Å, c = 9.8072 Å
α = 90.00°, β = 90.00°, γ = 90.00°
Atoms (fractional coordinates):
Ce 0.0000 0.5000 0.2454
Ce 0.5000 0.0000 0.7546
Co 0.5000 0.5000 0.0000
Ni 0.0000 0.0000 0.5000
Ni 0.0000 0.5000 0.8700
Ni 0.5000 0.0000 0.1300
Ni 0.5000 0.5000 0.5000
Ge 0.0000 0.0000 0.0000
Ge 0.0000 0.5000 0.6284
Ge 0.5000 0.0000 0.3716

---

Q: What is the Fermi-level density of states in the first record?
A: 4.254 states/eV/cell